1.
A plane-wave DFT calculation with PBE-GGA was carried out for K2BeSnAs2 after structural relaxation.

- Crystal system: orthorhombic
- Total magnetic moment: 0.0 μB/f.u.
- DFT total energy: -40.944 eV per cell

Cell and atoms, written as POSCAR:
```
K2BeSnAs2
1.0
-3.5673 7.0952 3.3042
3.5673 -7.0952 3.3042
3.5673 7.0952 -3.3042
K Be Sn As
4 2 2 4
Direct
0.1770 0.2210 0.3980 K
0.3230 0.7210 0.0441 K
0.6770 0.2790 0.9559 K
0.8230 0.7790 0.6020 K
0.2500 0.2500 0.0000 Be
0.7500 0.7500 0.0000 Be
0.2500 0.7500 0.5000 Sn
0.7500 0.2500 0.5000 Sn
0.0775 0.8104 0.8879 As
0.4225 0.3104 0.7328 As
0.5775 0.6896 0.2672 As
0.9225 0.1896 0.1121 As
```


2.
A plane-wave DFT calculation with PBE-GGA was carried out for KSrBeAs2 after structural relaxation.

- Crystal system: tetragonal
- Total magnetic moment: 0.0 μB/f.u.
- DFT total energy: -12.452 eV per cell

Cell and atoms, written as POSCAR:
```
KSrBeAs2
1.0
5.7464 0.0000 0.0000
0.0000 5.7464 0.0000
0.0000 0.0000 5.8378
K Sr Be As
1 1 1 2
Direct
0.0000 0.0000 0.0000 K
0.5000 0.5000 0.5000 Sr
0.5000 0.5000 0.0000 Be
0.0000 0.5000 0.5000 As
0.5000 0.0000 0.5000 As
```


3.
A plane-wave DFT calculation with PBE-GGA was carried out for KTaBeAs3 after structural relaxation.

- Crystal system: monoclinic
- Total magnetic moment: 0.0 μB/f.u.
- DFT total energy: -65.193 eV per cell

Cell and atoms, written as POSCAR:
```
KTaBeAs3
1.0
9.1832 0.0000 0.0000
0.0000 3.5846 0.0000
-4.5153 0.0000 8.3243
K Ta Be As
2 2 2 6
Direct
0.2424 0.2500 0.0102 K
0.7576 0.7500 0.9898 K
0.1461 0.2500 0.4716 Ta
0.8539 0.7500 0.5284 Ta
0.4098 0.7500 0.5101 Be
0.5902 0.2500 0.4899 Be
0.1644 0.7500 0.2753 As
0.1769 0.7500 0.6884 As
0.4805 0.2500 0.6759 As
0.5195 0.7500 0.3241 As
0.8231 0.2500 0.3116 As
0.8356 0.2500 0.7247 As
```


4.
A plane-wave DFT calculation with PBE-GGA was carried out for K2BeTlAs2 after structural relaxation.

- Crystal system: orthorhombic
- Total magnetic moment: 0.0 μB/f.u.
- DFT total energy: -37.939 eV per cell

Cell and atoms, written as POSCAR:
```
K2BeTlAs2
1.0
-3.4648 7.4050 3.2255
3.4648 -7.4050 3.2255
3.4648 7.4050 -3.2255
K Be Tl As
4 2 2 4
Direct
0.1731 0.2449 0.4180 K
0.3269 0.7449 0.0718 K
0.6731 0.2551 0.9282 K
0.8269 0.7551 0.5820 K
0.2500 0.2500 0.0000 Be
0.7500 0.7500 0.0000 Be
0.2500 0.7500 0.5000 Tl
0.7500 0.2500 0.5000 Tl
0.0885 0.8158 0.9044 As
0.4115 0.3158 0.7273 As
0.5885 0.6842 0.2727 As
0.9115 0.1842 0.0956 As
```


5.
A plane-wave DFT calculation with PBE-GGA was carried out for KBe2VAs after structural relaxation.

- Crystal system: tetragonal
- Total magnetic moment: 3.1 μB/f.u.
- DFT total energy: -10.297 eV per cell

Cell and atoms, written as POSCAR:
```
KBe2VAs
1.0
4.7356 0.0000 0.0000
0.0000 4.7356 0.0000
0.0000 0.0000 4.8873
K Be V As
1 2 1 1
Direct
0.0000 0.0000 0.0000 K
0.0000 0.5000 0.0000 Be
0.5000 0.0000 0.0000 Be
0.0000 0.0000 0.5000 V
0.5000 0.5000 0.5000 As
```


6.
A plane-wave DFT calculation with PBE-GGA was carried out for KZr2BeAs after structural relaxation.

- Crystal system: tetragonal
- Total magnetic moment: 0.0 μB/f.u.
- DFT total energy: -16.613 eV per cell

Cell and atoms, written as POSCAR:
```
KZr2BeAs
1.0
5.0583 0.0000 0.0000
0.0000 5.0583 0.0000
0.0000 0.0000 4.1030
K Zr Be As
1 2 1 1
Direct
0.0000 0.0000 0.0000 K
0.0000 0.5000 0.0000 Zr
0.5000 0.0000 0.0000 Zr
0.0000 0.0000 0.5000 Be
0.5000 0.5000 0.5000 As
```


7.
A plane-wave DFT calculation with PBE-GGA was carried out for K2ZrBeAs after structural relaxation.

- Crystal system: tetragonal
- Total magnetic moment: 1.2 μB/f.u.
- DFT total energy: -15.566 eV per cell

Cell and atoms, written as POSCAR:
```
K2ZrBeAs
1.0
6.2498 0.0000 0.0000
0.0000 6.2498 0.0000
0.0000 0.0000 5.1842
K Zr Be As
2 1 1 1
Direct
0.0000 0.5000 0.0000 K
0.5000 0.0000 0.0000 K
0.0000 0.0000 0.5000 Zr
0.5000 0.5000 0.5000 Be
0.0000 0.0000 0.0000 As
```


8.
A plane-wave DFT calculation with PBE-GGA was carried out for La3BeAs after structural relaxation.

- Crystal system: cubic
- Total magnetic moment: 0.0 μB/f.u.
- DFT total energy: -23.469 eV per cell

Cell and atoms, written as POSCAR:
```
La3BeAs
1.0
5.3172 0.0000 0.0000
0.0000 5.3172 0.0000
0.0000 0.0000 5.3172
La Be As
3 1 1
Direct
0.0000 0.0000 0.5000 La
0.0000 0.5000 0.0000 La
0.5000 0.0000 0.0000 La
0.0000 0.0000 0.0000 Be
0.5000 0.5000 0.5000 As
```


9.
A plane-wave DFT calculation with PBE-GGA was carried out for LaBe3As3 after structural relaxation.

- Crystal system: hexagonal
- Total magnetic moment: 0.0 μB/f.u.
- DFT total energy: -67.396 eV per cell

Cell and atoms, written as POSCAR:
```
LaBe3As3
1.0
9.0815 0.0000 0.0000
-4.5407 7.8648 0.0000
0.0000 0.0000 3.9614
La Be As
2 6 6
Direct
0.3333 0.6667 0.2500 La
0.6667 0.3333 0.7500 La
0.0577 0.4043 0.7500 Be
0.3466 0.9423 0.7500 Be
0.4043 0.3466 0.2500 Be
0.5957 0.6534 0.7500 Be
0.6534 0.0577 0.2500 Be
0.9423 0.5957 0.2500 Be
0.0872 0.6891 0.7500 As
0.3109 0.3980 0.7500 As
0.3980 0.0872 0.2500 As
0.6020 0.9128 0.7500 As
0.6891 0.6020 0.2500 As
0.9128 0.3109 0.2500 As
```


10.
A plane-wave DFT calculation with PBE-GGA was carried out for LaBeAs3 after structural relaxation.

- Crystal system: cubic
- Total magnetic moment: 0.0 μB/f.u.
- DFT total energy: -16.805 eV per cell

Cell and atoms, written as POSCAR:
```
LaBeAs3
1.0
5.6484 0.0000 0.0000
0.0000 5.6484 0.0000
0.0000 0.0000 5.6484
La Be As
1 1 3
Direct
0.0000 0.0000 0.0000 La
0.5000 0.5000 0.5000 Be
0.0000 0.0000 0.5000 As
0.0000 0.5000 0.0000 As
0.5000 0.0000 0.0000 As
```


11.
A plane-wave DFT calculation with PBE-GGA was carried out for LaBeAs3 after structural relaxation.

- Crystal system: cubic
- Total magnetic moment: 0.0 μB/f.u.
- DFT total energy: -24.389 eV per cell

Cell and atoms, written as POSCAR:
```
LaBeAs3
1.0
4.6698 0.0000 0.0000
0.0000 4.6698 0.0000
0.0000 0.0000 4.6698
La Be As
1 1 3
Direct
0.0000 0.0000 0.0000 La
0.5000 0.5000 0.5000 Be
0.0000 0.5000 0.5000 As
0.5000 0.0000 0.5000 As
0.5000 0.5000 0.0000 As
```


12.
A plane-wave DFT calculation with PBE-GGA was carried out for LaMnBeAs2 after structural relaxation.

- Crystal system: tetragonal
- Total magnetic moment: 0.1 μB/f.u.
- DFT total energy: -26.725 eV per cell

Cell and atoms, written as POSCAR:
```
LaMnBeAs2
1.0
4.6728 0.0000 0.0000
0.0000 4.6728 0.0000
0.0000 0.0000 4.1940
La Mn Be As
1 1 1 2
Direct
0.0000 0.0000 0.0000 La
0.5000 0.5000 0.0000 Mn
0.5000 0.5000 0.5000 Be
0.0000 0.5000 0.5000 As
0.5000 0.0000 0.5000 As
```